No. 1
Cu7Pd6 (GGA-PBE, relaxed); formation energy = -0.095 eV per atom
1.0
-0.735 -1.588 -4.489
-2.935 -1.392 3.559
-10.337 13.722 -3.159
Pd Cu
12 14
Direct
0.667 0.333 0.177
0.667 0.333 0.750
0.333 0.667 0.980
0.333 0.667 0.250
0.333 0.667 0.520
0.333 0.667 0.823
0.333 0.667 0.677
0.667 0.333 0.480
0.000 0.000 0.750
0.667 0.333 0.020
0.000 0.000 0.250
0.667 0.333 0.323
0.832 0.665 0.616
0.168 0.832 0.116
0.832 0.665 0.884
0.000 0.000 0.500
0.168 0.335 0.384
0.168 0.832 0.384
0.335 0.168 0.616
0.832 0.168 0.884
0.832 0.168 0.616
0.168 0.335 0.116
0.335 0.168 0.884
0.665 0.832 0.116
0.000 0.000 0.000
0.665 0.832 0.384

No. 2
Ta2SnAu2 (GGA-PBE, relaxed); calculated total energy = -6.571 eV per atom; total magnetization = 0.001 μB/f.u.
1.0
0.885 6.615 3.222
-1.785 7.026 -1.541
-1.933 -7.139 0.468
Sn Ta Au
1 2 2
Direct
0.000 0.000 0.000
0.750 0.250 0.500
0.250 0.750 0.500
0.600 0.600 0.000
0.400 0.400 0.000

No. 3
NdAgTe3Pb (GGA-PBE, relaxed); total magnetization = 0.003 μB/f.u.; distance to the lowest polymorph of the same formula = 0.028 eV/atom
1.0
12.542 0.000 0.000
0.000 4.589 0.000
0.000 0.000 12.834
Te Pb Nd Ag
12 4 4 4
Direct
0.597 0.000 0.061
0.468 0.000 0.370
0.712 0.500 0.327
0.903 0.500 0.561
0.097 0.000 0.439
0.968 0.000 0.130
0.532 0.500 0.630
0.788 0.000 0.827
0.212 0.500 0.173
0.288 0.000 0.673
0.403 0.500 0.939
0.032 0.500 0.870
0.695 0.000 0.521
0.195 0.000 0.979
0.305 0.500 0.479
0.805 0.500 0.021
0.027 0.000 0.690
0.973 0.500 0.310
0.527 0.000 0.810
0.473 0.500 0.190
0.737 0.500 0.712
0.263 0.000 0.288
0.237 0.500 0.788
0.763 0.000 0.212

No. 4
ZrCoIrPb (GGA-PBE, relaxed); total magnetization = 2.000 μB/f.u.; distance to the lowest polymorph of the same formula = 0.000 eV/atom
1.0
0.000 3.279 3.279
3.279 0.000 3.279
3.279 3.279 0.000
Pb Co Ir Zr
1 1 1 1
Direct
0.000 0.000 0.000
0.750 0.750 0.750
0.250 0.250 0.250
0.500 0.500 0.500

No. 5
PrScPBr2 (GGA-PBE, relaxed); calculated total energy = -5.642 eV per atom; total magnetization = 0.001 μB/f.u.
1.0
3.982 0.000 0.000
-1.991 3.448 0.000
0.000 0.000 10.567
Br Sc Pr P
2 1 1 1
Direct
0.333 0.667 0.695
0.667 0.333 0.330
0.667 0.333 0.854
0.333 0.667 0.142
0.000 0.000 0.979

No. 6
LiHfMg2 (GGA-PBE, relaxed); calculated total energy = -3.470 eV per atom; total magnetization = 0.002 μB/f.u.
1.0
0.000 3.425 3.425
3.425 0.000 3.425
3.425 3.425 0.000
Hf Mg Li
1 2 1
Direct
0.250 0.250 0.250
0.750 0.750 0.750
0.000 0.000 0.000
0.500 0.500 0.500